No. 1
Material: Ac2TcN
Method: DFT, PBE
State: optimized geometry

Lattice parameters (Å, degrees): 8.658 8.658 8.658 24.76 24.76 24.76
Sites, in units of the cell vectors:
Ac 0.106 0.106 0.106
Ac 0.894 0.894 0.894
Tc 0.000 0.000 0.000
N 0.500 0.500 0.500

Computed properties:
**Total energy**: -6.352 eV per atom

---

No. 2
Material: Ac8Te4As3S
Method: DFT, PBE
State: optimized geometry

Lattice parameters (Å, degrees): 9.347 9.347 9.347 58.39 58.39 58.39
Sites, in units of the cell vectors:
Ac 0.241 0.241 0.241
Ac 0.242 0.739 0.739
Ac 0.261 0.261 0.758
Ac 0.261 0.758 0.261
Ac 0.739 0.242 0.739
Ac 0.739 0.739 0.242
Ac 0.758 0.261 0.261
Ac 0.759 0.759 0.759
Te 0.000 0.000 0.000
Te 0.000 0.500 0.500
Te 0.500 0.000 0.500
Te 0.500 0.500 0.000
As 0.000 0.000 0.500
As 0.000 0.500 0.000
As 0.500 0.000 0.000
S 0.500 0.500 0.500

Computed properties:
**Total energy**: -5.573 eV per atom

---

No. 3
Material: Li4Mg2Al
Method: DFT, PBE
State: optimized geometry

Lattice parameters (Å, degrees): 5.912 5.888 5.773 60.92 60.50 58.59
Sites, in units of the cell vectors:
Li 0.207 0.793 0.207
Li 0.319 0.733 0.681
Li 0.733 0.319 0.267
Li 0.793 0.207 0.793
Mg 0.262 0.262 0.238
Mg 0.762 0.762 0.738
Al 0.262 0.262 0.738

Computed properties:
**Formation energy from the elements**: 0.003 eV/atom
**Energy above the most stable polymorph in this dataset**: 13 meV per atom
**Total energy**: -2.081 eV per atom

---

No. 4
Material: NdYNi2As2
Method: DFT, PBE
State: optimized geometry

Lattice parameters (Å, degrees): 4.086 4.086 7.954 90.00 90.00 120.00
Sites, in units of the cell vectors:
Nd 0.000 0.000 0.000
Y 0.000 0.000 0.500
Ni 0.333 0.667 0.743
Ni 0.667 0.333 0.257
As 0.333 0.667 0.259
As 0.667 0.333 0.741

Computed properties:
**Formation energy from the elements**: -1.049 eV/atom
**Total energy**: -6.398 eV per atom

---

No. 5
Material: Th3Zn4Ag4
Method: DFT, PBE
State: optimized geometry

Lattice parameters (Å, degrees): 8.490 8.490 8.490 150.27 128.05 61.01
Sites, in units of the cell vectors:
Th 0.000 0.000 0.000
Th 0.376 0.876 0.500
Th 0.624 0.124 0.500
Zn 0.220 0.220 0.000
Zn 0.316 0.500 0.816
Zn 0.684 0.500 0.184
Zn 0.780 0.780 0.000
Ag 0.023 0.328 0.694
Ag 0.366 0.672 0.694
Ag 0.634 0.328 0.306
Ag 0.977 0.672 0.306

Computed properties:
**Formation energy from the elements**: -0.161 eV/atom
**Energy above the most stable polymorph in this dataset**: 22 meV per atom
**Total energy**: -3.685 eV per atom

---

No. 6
Material: Sc2V2Ir
Method: DFT, PBE
State: optimized geometry

Lattice parameters (Å, degrees): 6.296 6.296 4.517 90.00 90.00 90.00
Sites, in units of the cell vectors:
Sc 0.169 0.331 0.000
Sc 0.331 0.831 0.000
Sc 0.669 0.169 0.000
Sc 0.831 0.669 0.000
V 0.136 0.636 0.500
V 0.364 0.136 0.500
V 0.636 0.864 0.500
V 0.864 0.364 0.500
Ir 0.000 0.000 0.500
Ir 0.500 0.500 0.500

Computed properties:
**Formation energy from the elements**: -0.147 eV/atom
**Total energy**: -8.099 eV per atom

---

No. 7
Material: LaPmSnTe
Method: DFT, PBE
State: optimized geometry

Lattice parameters (Å, degrees): 5.554 5.554 5.554 60.00 60.00 60.00
Sites, in units of the cell vectors:
La 0.000 0.000 0.000
Pm 0.500 0.500 0.500
Sn 0.250 0.250 0.250
Te 0.750 0.750 0.750

Computed properties:
**Energy above the most stable polymorph in this dataset**: 240 meV per atom
**Total energy**: -5.122 eV per atom

---

No. 8
Material: Na13Sn2
Method: DFT, PBE
State: optimized geometry

Lattice parameters (Å, degrees): 6.116 7.967 10.682 103.12 106.31 96.95
Sites, in units of the cell vectors:
Na 0.000 0.000 0.000
Na 0.004 0.030 0.337
Na 0.179 0.404 0.937
Na 0.186 0.416 0.608
Na 0.406 0.788 0.862
Na 0.407 0.784 0.215
Na 0.425 0.757 0.527
Na 0.575 0.243 0.473
Na 0.593 0.216 0.785
Na 0.594 0.212 0.138
Na 0.814 0.584 0.392
Na 0.821 0.596 0.063
Na 0.996 0.970 0.663
Sn 0.186 0.392 0.253
Sn 0.814 0.608 0.747

Computed properties:
**Formation energy from the elements**: -0.068 eV/atom
**Energy above the most stable polymorph in this dataset**: 0 meV per atom
**Total energy**: -1.745 eV per atom

---

No. 9
Material: Sr2Zn2Cl
Method: DFT, PBE
State: optimized geometry

Lattice parameters (Å, degrees): 8.368 8.368 4.619 90.00 90.00 90.00
Sites, in units of the cell vectors:
Sr 0.191 0.309 0.000
Sr 0.309 0.809 0.000
Sr 0.691 0.191 0.000
Sr 0.809 0.691 0.000
Zn 0.102 0.602 0.500
Zn 0.398 0.102 0.500
Zn 0.602 0.898 0.500
Zn 0.898 0.398 0.500
Cl 0.000 0.000 0.000
Cl 0.500 0.500 0.000

Computed properties:
**Energy above the most stable polymorph in this dataset**: 202 meV per atom
**Total energy**: -2.231 eV per atom

---

No. 10
Material: BaSr6Tl2
Method: DFT, PBE
State: optimized geometry

Lattice parameters (Å, degrees): 13.419 13.419 5.140 90.79 90.79 86.24
Sites, in units of the cell vectors:
Ba 0.101 0.899 0.750
Ba 0.899 0.101 0.250
Sr 0.114 0.290 0.975
Sr 0.114 0.599 0.478
Sr 0.290 0.114 0.475
Sr 0.333 0.511 0.991
Sr 0.401 0.886 0.022
Sr 0.489 0.667 0.509
Sr 0.511 0.333 0.491
Sr 0.599 0.114 0.978
Sr 0.667 0.489 0.009
Sr 0.710 0.886 0.525
Sr 0.886 0.401 0.522
Sr 0.886 0.710 0.025
Tl 0.251 0.377 0.484
Tl 0.377 0.251 0.984
Tl 0.623 0.749 0.016
Tl 0.749 0.623 0.516

Computed properties:
**Formation energy from the elements**: -0.061 eV/atom
**Total energy**: -1.922 eV per atom

---

No. 11
Material: Cd3Se2F2
Method: DFT, PBE
State: optimized geometry

Lattice parameters (Å, degrees): 6.888 6.888 6.191 111.78 111.78 33.66
Sites, in units of the cell vectors:
Cd 0.000 0.000 0.000
Cd 0.233 0.233 0.744
Cd 0.767 0.767 0.256
Se 0.400 0.400 0.165
Se 0.600 0.600 0.835
F 0.174 0.174 0.352
F 0.826 0.826 0.648

Computed properties:
**Total energy**: -3.143 eV per atom

---

No. 12
Material: Mg2CrIn
Method: DFT, PBE
State: optimized geometry

Lattice parameters (Å, degrees): 3.213 3.213 8.148 90.00 90.00 90.00
Sites, in units of the cell vectors:
Mg 0.000 0.000 0.227
Mg 0.000 0.000 0.773
Cr 0.500 0.500 0.000
In 0.500 0.500 0.500

Computed properties:
**Formation energy from the elements**: 0.223 eV/atom
**Total energy**: -3.665 eV per atom

---

No. 13
Material: MnCuP2
Method: DFT, PBE
State: optimized geometry

Lattice parameters (Å, degrees): 4.264 4.264 4.264 60.00 60.00 60.00
Sites, in units of the cell vectors:
Mn 0.000 0.000 0.000
Cu 0.250 0.250 0.250
P 0.500 0.500 0.500
P 0.750 0.750 0.750

Computed properties:
**Formation energy from the elements**: 0.419 eV/atom
**Total energy**: -5.603 eV per atom

---

No. 14
Material: Ti2BeCoH
Method: DFT, PBE
State: optimized geometry

Lattice parameters (Å, degrees): 4.028 4.028 3.351 90.00 90.00 90.00
Sites, in units of the cell vectors:
Ti 0.000 0.500 0.000
Ti 0.500 0.000 0.000
Be 0.000 0.000 0.500
Co 0.500 0.500 0.500
H 0.500 0.500 0.000

Computed properties:
**Energy above the most stable polymorph in this dataset**: 0 meV per atom
**Total energy**: -6.244 eV per atom

---

No. 15
Material: CaTbBiPd
Method: DFT, PBE
State: optimized geometry

Lattice parameters (Å, degrees): 5.261 5.261 5.261 60.00 60.00 60.00
Sites, in units of the cell vectors:
Ca 0.000 0.000 0.000
Tb 0.500 0.500 0.500
Bi 0.750 0.750 0.750
Pd 0.250 0.250 0.250

Computed properties:
**Formation energy from the elements**: -0.705 eV/atom
**Total energy**: -4.631 eV per atom

---

No. 16
Material: Zr4BeCo
Method: DFT, PBE
State: optimized geometry

Lattice parameters (Å, degrees): 5.281 5.281 5.281 103.47 103.47 122.29
Sites, in units of the cell vectors:
Zr 0.086 0.586 0.173
Zr 0.414 0.914 0.827
Zr 0.586 0.414 0.500
Zr 0.914 0.086 0.500
Be 0.500 0.500 0.000
Co 0.000 0.000 0.000

Computed properties:
**Formation energy from the elements**: -0.150 eV/atom
**Energy above the most stable polymorph in this dataset**: 0 meV per atom
**Total energy**: -7.654 eV per atom

---

No. 17
Material: RbBH2
Method: DFT, PBE
State: optimized geometry

Lattice parameters (Å, degrees): 3.269 5.542 8.278 96.74 90.11 104.84
Sites, in units of the cell vectors:
Rb 0.000 0.000 0.000
Rb 0.040 0.097 0.508
B 0.302 0.611 0.243
B 0.737 0.486 0.242
H 0.416 0.844 0.256
H 0.511 0.027 0.748
H 0.530 0.570 0.373
H 0.624 0.256 0.249

Computed properties:
**Energy above the most stable polymorph in this dataset**: 17 meV per atom
**Total energy**: -3.633 eV per atom

---

No. 18
Material: Cd2SiMo
Method: DFT, PBE
State: optimized geometry

Lattice parameters (Å, degrees): 2.856 2.856 9.117 90.00 90.00 90.00
Sites, in units of the cell vectors:
Cd 0.000 0.000 0.000
Cd 0.500 0.500 0.281
Si 0.500 0.500 0.723
Mo 0.000 0.000 0.528

Computed properties:
**Total energy**: -4.184 eV per atom

---

No. 19
Material: CuC
Method: DFT, PBE
State: optimized geometry

Lattice parameters (Å, degrees): 3.788 3.788 6.317 91.27 91.27 48.44
Sites, in units of the cell vectors:
Cu 0.000 0.000 0.000
Cu 0.237 0.237 0.728
Cu 0.516 0.516 0.498
C 0.524 0.524 0.817
C 0.790 0.790 0.436
C 0.905 0.905 0.279

Computed properties:
**Formation energy from the elements**: 1.102 eV/atom
**Energy above the most stable polymorph in this dataset**: 881 meV per atom
**Total energy**: -5.558 eV per atom

---

No. 20
Material: Ti7MnIr2
Method: DFT, PBE
State: optimized geometry

Lattice parameters (Å, degrees): 6.226 6.226 6.226 60.00 60.00 60.00
Sites, in units of the cell vectors:
Ti 0.000 0.000 0.000
Ti 0.255 0.255 0.745
Ti 0.255 0.745 0.255
Ti 0.255 0.745 0.745
Ti 0.745 0.255 0.255
Ti 0.745 0.255 0.745
Ti 0.745 0.745 0.255
Mn 0.500 0.500 0.500
Ir 0.250 0.250 0.250
Ir 0.750 0.750 0.750

Computed properties:
**Formation energy from the elements**: 0.583 eV/atom
**Total energy**: -7.633 eV per atom